A relaxed structure of GaH, computed with PBE.

Cell lengths 2.987, 2.987, 6.253 Å; angles 90.00, 90.00, 120.00 degrees
Sites, in units of the cell vectors:
Ga  0.333  0.667  0.000
Ga  0.667  0.333  0.500
H  0.333  0.667  0.295
H  0.667  0.333  0.795

Output
Its symmetry is P6_3mc. The relative energy among the computed polymorphs comes out at 0.367 eV per atom. As for the density of states at the Fermi level: 0.407 states/eV per atom.

***

A relaxed structure of Ga3H, computed with PBE.

Cell lengths 3.244, 4.768, 4.426 Å; angles 90.00, 90.00, 90.00 degrees
Sites, in units of the cell vectors:
Ga  0.000  0.000  0.000
Ga  0.000  0.500  0.227
Ga  0.500  0.000  0.516
H  0.500  0.500  0.462

Output
Its symmetry is Pmm2. The relative energy among the computed polymorphs comes out at 0.000 eV per atom. As for the density of states at the Fermi level: 0.290 states/eV per atom.

***

A relaxed structure of GaH, computed with PBE.

Cell lengths 3.301, 3.301, 3.301 Å; angles 60.00, 60.00, 60.00 degrees
Sites, in units of the cell vectors:
Ga  0.000  0.000  0.000
H  0.250  0.250  0.250

Output
Its symmetry is F-43m. The relative energy among the computed polymorphs comes out at 0.359 eV per atom. As for the density of states at the Fermi level: 0.288 states/eV per atom.

***

A relaxed structure of HfGa2H, computed with PBE.

Cell lengths 5.486, 5.486, 5.486 Å; angles 115.64, 115.64, 97.73 degrees
Sites, in units of the cell vectors:
Hf  0.000  0.000  0.000
Hf  0.750  0.250  0.500
Ga  0.254  0.125  0.629
Ga  0.375  0.746  0.871
Ga  0.496  0.625  0.371
Ga  0.875  0.504  0.129
H  0.250  0.750  0.500
H  0.500  0.500  0.000

Output
Its symmetry is I-42d. The relative energy among the computed polymorphs comes out at 0.000 eV per atom. As for the density of states at the Fermi level: 0.220 states/eV per atom.

***

A relaxed structure of HfGaH, computed with PBE.

Cell lengths 5.493, 5.493, 5.493 Å; angles 149.24, 149.24, 44.07 degrees
Sites, in units of the cell vectors:
Hf  0.000  0.000  0.000
Ga  0.281  0.281  0.000
H  0.552  0.552  0.000

Output
Its symmetry is I4mm. The relative energy among the computed polymorphs comes out at 0.313 eV per atom. As for the density of states at the Fermi level: 0.591 states/eV per atom.

***

A relaxed structure of HfGaH, computed with PBE.

Cell lengths 5.545, 5.545, 3.887 Å; angles 90.04, 90.04, 39.43 degrees
Sites, in units of the cell vectors:
Hf  0.154  0.154  0.250
Hf  0.846  0.846  0.750
Ga  0.430  0.430  0.250
Ga  0.570  0.570  0.750
H  0.246  0.246  0.749
H  0.754  0.754  0.251

Output
Its symmetry is C2/m. The relative energy among the computed polymorphs comes out at 0.011 eV per atom. As for the density of states at the Fermi level: 0.140 states/eV per atom.

***

A relaxed structure of Hf4Ga5H2, computed with PBE.

Cell lengths 8.920, 8.920, 8.920 Å; angles 160.40, 129.59, 54.59 degrees
Sites, in units of the cell vectors:
Hf  0.173  0.173  0.000
Hf  0.188  0.500  0.688
Hf  0.812  0.500  0.312
Hf  0.827  0.827  0.000
Ga  0.158  0.332  0.826
Ga  0.495  0.668  0.826
Ga  0.500  0.000  0.500
Ga  0.505  0.332  0.174
Ga  0.842  0.668  0.174
H  0.051  0.051  0.000
H  0.949  0.949  0.000

Output
Its total energy is -5.775 eV per atom. Its symmetry is Immm. As for the density of states at the Fermi level: 0.506 states/eV per atom.

***

A relaxed structure of HfGaH, computed with PBE.

Cell lengths 5.048, 5.048, 5.048 Å; angles 129.24, 85.20, 116.82 degrees
Sites, in units of the cell vectors:
Hf  0.295  0.045  0.250
Hf  0.705  0.955  0.750
Ga  0.000  0.500  0.500
Ga  0.500  0.500  0.000
H  0.000  0.000  0.500
H  0.000  0.500  0.000

Output
Its symmetry is Imma. The relative energy among the computed polymorphs comes out at 0.298 eV per atom. As for the density of states at the Fermi level: 0.300 states/eV per atom.

***

A relaxed structure of HfGaH, computed with PBE.

Cell lengths 3.306, 3.306, 9.017 Å; angles 90.00, 90.00, 120.25 degrees
Sites, in units of the cell vectors:
Hf  0.167  0.833  0.750
Hf  0.833  0.167  0.250
Ga  0.500  0.500  0.000
Ga  0.500  0.500  0.500
H  0.165  0.835  0.250
H  0.835  0.165  0.750

Output
Its symmetry is Cmcm. The relative energy among the computed polymorphs comes out at 0.087 eV per atom. As for the density of states at the Fermi level: 0.292 states/eV per atom.

***

A relaxed structure of HfGaH, computed with PBE.

Cell lengths 5.165, 3.116, 10.439 Å; angles 90.00, 90.00, 90.00 degrees
Sites, in units of the cell vectors:
Hf  0.157  0.250  0.170
Hf  0.343  0.750  0.670
Hf  0.657  0.250  0.330
Hf  0.843  0.750  0.830
Ga  0.176  0.250  0.451
Ga  0.324  0.750  0.951
Ga  0.676  0.250  0.049
Ga  0.824  0.750  0.549
H  0.094  0.250  0.751
H  0.406  0.750  0.251
H  0.594  0.250  0.749
H  0.906  0.750  0.249

Output
Its symmetry is Pnma. The relative energy among the computed polymorphs comes out at 0.234 eV per atom. As for the density of states at the Fermi level: 0.269 states/eV per atom.

***

A relaxed structure of HfGaH, computed with PBE.

Cell lengths 7.123, 3.833, 5.593 Å; angles 90.00, 90.00, 90.00 degrees
Sites, in units of the cell vectors:
Hf  0.166  0.250  0.109
Hf  0.334  0.750  0.609
Hf  0.666  0.250  0.391
Hf  0.834  0.750  0.891
Ga  0.042  0.250  0.627
Ga  0.458  0.750  0.127
Ga  0.542  0.250  0.873
Ga  0.958  0.750  0.373
H  0.118  0.750  0.951
H  0.382  0.250  0.451
H  0.618  0.750  0.549
H  0.882  0.250  0.049

Output
Its symmetry is Pnma. The relative energy among the computed polymorphs comes out at 0.000 eV per atom. As for the density of states at the Fermi level: 0.040 states/eV per atom.

***

A relaxed structure of Hf3GaH3, computed with PBE.

Cell lengths 5.639, 5.639, 5.639 Å; angles 90.00, 90.00, 90.00 degrees
Sites, in units of the cell vectors:
Hf  0.000  0.250  0.500
Hf  0.000  0.750  0.500
Hf  0.250  0.500  0.000
Hf  0.500  0.000  0.250
Hf  0.500  0.000  0.750
Hf  0.750  0.500  0.000
Ga  0.000  0.000  0.000
Ga  0.500  0.500  0.500
H  0.000  0.500  0.250
H  0.000  0.500  0.750
H  0.250  0.000  0.500
H  0.500  0.250  0.000
H  0.500  0.750  0.000
H  0.750  0.000  0.500

Output
Its symmetry is Pm-3n. The relative energy among the computed polymorphs comes out at 0.000 eV per atom. As for the density of states at the Fermi level: 0.655 states/eV per atom.

***

A relaxed structure of Hf6Ga2H, computed with PBE.

Cell lengths 5.772, 6.754, 10.384 Å; angles 90.00, 123.70, 90.00 degrees
Sites, in units of the cell vectors:
Hf  0.082  0.191  0.459
Hf  0.082  0.309  0.959
Hf  0.337  0.698  0.457
Hf  0.337  0.802  0.957
Hf  0.395  0.024  0.251
Hf  0.395  0.476  0.751
Hf  0.605  0.524  0.249
Hf  0.605  0.976  0.749
Hf  0.663  0.198  0.043
Hf  0.663  0.302  0.543
Hf  0.918  0.691  0.041
Hf  0.918  0.809  0.541
Ga  0.152  0.116  0.752
Ga  0.152  0.384  0.252
Ga  0.848  0.616  0.748
Ga  0.848  0.884  0.248
H  0.000  0.000  0.000
H  0.000  0.500  0.500

Output
Its total energy is -7.939 eV per atom. Its symmetry is P2_1/c. As for the density of states at the Fermi level: 0.733 states/eV per atom.

***

A relaxed structure of Hf3GaH3, computed with PBE.

Cell lengths 7.356, 7.356, 7.356 Å; angles 46.02, 46.02, 46.02 degrees
Sites, in units of the cell vectors:
Hf  0.085  0.725  0.406
Hf  0.275  0.594  0.915
Hf  0.406  0.085  0.725
Hf  0.594  0.915  0.275
Hf  0.725  0.406  0.085
Hf  0.915  0.275  0.594
Ga  0.167  0.167  0.167
Ga  0.833  0.833  0.833
H  0.023  0.364  0.709
H  0.291  0.977  0.636
H  0.364  0.709  0.023
H  0.636  0.291  0.977
H  0.709  0.023  0.364
H  0.977  0.636  0.291

Output
Its symmetry is R-3. The relative energy among the computed polymorphs comes out at 0.071 eV per atom. As for the density of states at the Fermi level: 0.371 states/eV per atom.

***

A relaxed structure of Hf3GaH2, computed with PBE.

Cell lengths 10.597, 10.597, 5.590 Å; angles 105.05, 105.05, 17.27 degrees
Sites, in units of the cell vectors:
Hf  0.033  0.033  0.276
Hf  0.238  0.238  0.747
Hf  0.397  0.397  0.127
Hf  0.603  0.603  0.873
Hf  0.762  0.762  0.253
Hf  0.967  0.967  0.724
Ga  0.353  0.353  0.600
Ga  0.647  0.647  0.400
H  0.057  0.057  0.659
H  0.295  0.295  0.093
H  0.705  0.705  0.907
H  0.943  0.943  0.341

Output
Its total energy is -6.870 eV per atom. Its symmetry is C2/m. As for the density of states at the Fermi level: 0.571 states/eV per atom.

***

A relaxed structure of Hf6Ga3H, computed with PBE.

Cell lengths 5.653, 5.653, 6.646 Å; angles 95.55, 95.55, 59.95 degrees
Sites, in units of the cell vectors:
Hf  0.137  0.639  0.650
Hf  0.149  0.149  0.908
Hf  0.361  0.863  0.350
Hf  0.639  0.137  0.650
Hf  0.851  0.851  0.092
Hf  0.863  0.361  0.350
Ga  0.345  0.345  0.273
Ga  0.500  0.500  0.000
Ga  0.655  0.655  0.727
H  0.000  0.000  0.500

Output
Its total energy is -7.450 eV per atom. Its symmetry is C2/m. As for the density of states at the Fermi level: 0.656 states/eV per atom.

***

A relaxed structure of HfGaH, computed with PBE.

Cell lengths 3.294, 5.524, 5.536 Å; angles 118.67, 107.18, 90.05 degrees
Sites, in units of the cell vectors:
Hf  0.209  0.221  0.421
Hf  0.791  0.779  0.579
Ga  0.485  0.242  0.969
Ga  0.515  0.758  0.031
H  0.194  0.566  0.386
H  0.806  0.434  0.614

Output
Its symmetry is P-1. The relative energy among the computed polymorphs comes out at 0.046 eV per atom. As for the density of states at the Fermi level: 0.291 states/eV per atom.

***

A relaxed structure of Hf2GaH, computed with PBE.

Cell lengths 3.250, 5.689, 7.541 Å; angles 112.04, 102.33, 90.31 degrees
Sites, in units of the cell vectors:
Hf  0.003  0.255  0.000
Hf  0.302  0.303  0.604
Hf  0.698  0.697  0.396
Hf  0.997  0.745  0.000
Ga  0.362  0.863  0.724
Ga  0.638  0.137  0.276
H  0.109  0.609  0.219
H  0.891  0.391  0.781

Output
Its symmetry is P-1. The relative energy among the computed polymorphs comes out at 0.000 eV per atom. As for the density of states at the Fermi level: 0.639 states/eV per atom.

***

A relaxed structure of Hf2GaH, computed with PBE.

Cell lengths 4.510, 4.510, 4.510 Å; angles 60.00, 60.00, 60.00 degrees
Sites, in units of the cell vectors:
Hf  0.250  0.250  0.250
Hf  0.750  0.750  0.750
Ga  0.000  0.000  0.000
H  0.500  0.500  0.500

Output
Its symmetry is Fm-3m. The relative energy among the computed polymorphs comes out at 0.447 eV per atom. As for the density of states at the Fermi level: 0.868 states/eV per atom.

***

A relaxed structure of Hf4GaH2, computed with PBE.

Cell lengths 6.799, 6.799, 6.799 Å; angles 102.23, 102.23, 125.20 degrees
Sites, in units of the cell vectors:
Hf  0.059  0.800  0.137
Hf  0.078  0.941  0.741
Hf  0.087  0.450  0.759
Hf  0.200  0.337  0.259
Hf  0.550  0.309  0.637
Hf  0.663  0.922  0.863
Hf  0.672  0.913  0.363
Hf  0.691  0.328  0.241
Ga  0.250  0.750  0.500
Ga  0.500  0.500  0.000
H  0.375  0.191  0.316
H  0.809  0.125  0.184
H  0.875  0.059  0.684
H  0.941  0.625  0.816

Output
Its total energy is -7.318 eV per atom. Its symmetry is I-42d. As for the density of states at the Fermi level: 0.701 states/eV per atom.

***

Going through the records in order, we get size of the total moment values of 0.0; 0.0; 0.0; 0.0; 0.0; 0.0; 0.0; 0.0; 0.0; 0.0; 0.0; 0.0; 0.0; 0.0; 0.0; 0.0; 0.0; 0.0; 0.0; 0.0 μB/f.u..